Entry from Alexandria: HfCrBO5 after structural relaxation (GGA+U).

Magnetic moment = 6.00 μB per cell
Energy = -137.54 eV per cell
Crystal system = monoclinic

Lattice parameters (Å, degrees): 5.071 5.071 7.444 103.36 103.36 105.11
Element x y z (fractional)
Hf: 0.000 0.000 0.500
Hf: 0.000 0.000 0.000
Cr: 0.351 0.649 0.250
Cr: 0.649 0.351 0.750
B: 0.681 0.319 0.250
B: 0.319 0.681 0.750
O: 0.113 0.887 0.250
O: 0.887 0.113 0.750
O: 0.930 0.343 0.170
O: 0.070 0.657 0.830
O: 0.657 0.070 0.330
O: 0.343 0.930 0.670
O: 0.708 0.584 0.401
O: 0.292 0.416 0.599
O: 0.416 0.292 0.099
O: 0.584 0.708 0.901